Record 1
# GGA-PBE Pr2ErPaP4, relaxed
data_Pr2ErPaP4
_chemical_formula_sum 'Pr2 Er1 Pa1 P4'
_cell_length_a 7.024
_cell_length_b 4.080
_cell_length_c 7.102
_cell_angle_alpha 90.00
_cell_angle_beta 109.38
_cell_angle_gamma 90.00
_space_group_name_H-M_alt 'P 1'
_space_group_IT_number 1
_space_group_name_Hall 'P 1'
loop_
_atom_site_label
_atom_site_type_symbol
_atom_site_fract_x
_atom_site_fract_y
_atom_site_fract_z
Pr1 Pr 0.000 0.000 0.000
Pr2 Pr 0.500 0.500 0.000
Er1 Er 0.000 0.500 0.500
Pa1 Pa 0.500 0.000 0.500
P1 P 0.248 0.000 0.732
P2 P 0.258 0.500 0.269
P3 P 0.742 0.500 0.731
P4 P 0.752 0.000 0.268
# Crystal system: monoclinic
# ΔE_f in eV/atom: -1.50
# Spin magnetization in μB per atom: 0.000

Record 2
# GGA-PBE Sr2CdH, relaxed
data_Sr2CdH
_chemical_formula_sum 'Sr2 Cd1 H1'
_cell_length_a 5.559
_cell_length_b 5.559
_cell_length_c 5.559
_cell_angle_alpha 60.00
_cell_angle_beta 60.00
_cell_angle_gamma 60.00
_space_group_name_H-M_alt 'P 1'
_space_group_IT_number 1
_space_group_name_Hall 'P 1'
loop_
_atom_site_label
_atom_site_type_symbol
_atom_site_fract_x
_atom_site_fract_y
_atom_site_fract_z
Sr1 Sr 0.250 0.250 0.250
Sr2 Sr 0.750 0.750 0.750
Cd1 Cd 0.000 0.000 0.000
H1 H 0.500 0.500 0.500
# Crystal system: cubic
# Spin magnetization in μB per atom: 0.000
# Energy above the lowest structure with this stoichiometry in eV/atom: 0.4128

Record 3
# GGA-PBE La2NdAs4Pt3, relaxed
data_La2NdAs4Pt3
_chemical_formula_sum 'La2 Nd1 As4 Pt3'
_cell_length_a 4.518
_cell_length_b 4.518
_cell_length_c 10.952
_cell_angle_alpha 90.00
_cell_angle_beta 90.00
_cell_angle_gamma 90.00
_space_group_name_H-M_alt 'P 1'
_space_group_IT_number 1
_space_group_name_Hall 'P 1'
loop_
_atom_site_label
_atom_site_type_symbol
_atom_site_fract_x
_atom_site_fract_y
_atom_site_fract_z
La1 La 0.000 0.500 0.218
La2 La 0.500 0.000 0.782
Nd1 Nd 0.000 0.000 0.500
As1 As 0.000 0.000 0.000
As2 As 0.000 0.500 0.662
As3 As 0.500 0.000 0.338
As4 As 0.500 0.500 0.000
Pt1 Pt 0.000 0.500 0.892
Pt2 Pt 0.500 0.000 0.108
Pt3 Pt 0.500 0.500 0.500
# Crystal system: tetragonal
# ΔE_f in eV/atom: -1.00
# Spin magnetization in μB per atom: 0.000

Record 4
# GGA-PBE Dy2Y6HoSc3, relaxed
data_Dy2Y6HoSc3
_chemical_formula_sum 'Dy2 Y6 Ho1 Sc3'
_cell_length_a 6.058
_cell_length_b 6.058
_cell_length_c 11.503
_cell_angle_alpha 95.03
_cell_angle_beta 95.03
_cell_angle_gamma 119.96
_space_group_name_H-M_alt 'P 1'
_space_group_IT_number 1
_space_group_name_Hall 'P 1'
loop_
_atom_site_label
_atom_site_type_symbol
_atom_site_fract_x
_atom_site_fract_y
_atom_site_fract_z
Dy1 Dy 0.167 0.833 0.000
Dy2 Dy 0.833 0.167 0.000
Y1 Y 0.081 0.414 0.741
Y2 Y 0.253 0.253 0.259
Y3 Y 0.414 0.081 0.741
Y4 Y 0.586 0.919 0.259
Y5 Y 0.747 0.747 0.741
Y6 Y 0.919 0.586 0.259
Ho1 Ho 0.500 0.500 0.000
Sc1 Sc 0.000 0.000 0.500
Sc2 Sc 0.333 0.667 0.500
Sc3 Sc 0.667 0.333 0.500
# Crystal system: monoclinic
# ΔE_f in eV/atom: 0.05
# Spin magnetization in μB per atom: 0.000

Record 5
# GGA-PBE La4CSeBr2, relaxed
data_La4CSeBr2
_chemical_formula_sum 'La4 C1 Se1 Br2'
_cell_length_a 7.396
_cell_length_b 4.060
_cell_length_c 7.715
_cell_angle_alpha 90.00
_cell_angle_beta 107.28
_cell_angle_gamma 90.00
_space_group_name_H-M_alt 'P 1'
_space_group_IT_number 1
_space_group_name_Hall 'P 1'
loop_
_atom_site_label
_atom_site_type_symbol
_atom_site_fract_x
_atom_site_fract_y
_atom_site_fract_z
La1 La 0.200 0.000 0.193
La2 La 0.222 0.500 0.796
La3 La 0.778 0.500 0.204
La4 La 0.800 0.000 0.807
C1 C 0.000 0.500 0.000
Se1 Se 0.500 0.000 0.000
Br1 Br 0.000 0.000 0.500
Br2 Br 0.500 0.500 0.500
# Crystal system: monoclinic
# Spin magnetization in μB per atom: 0.000
# Raw total energy in Ry per atom: -0.4231

Record 6
# GGA-PBE K3YNb, relaxed
data_K3YNb
_chemical_formula_sum 'K3 Y1 Nb1'
_cell_length_a 6.574
_cell_length_b 6.574
_cell_length_c 6.574
_cell_angle_alpha 90.00
_cell_angle_beta 90.00
_cell_angle_gamma 90.00
_space_group_name_H-M_alt 'P 1'
_space_group_IT_number 1
_space_group_name_Hall 'P 1'
loop_
_atom_site_label
_atom_site_type_symbol
_atom_site_fract_x
_atom_site_fract_y
_atom_site_fract_z
K1 K 0.000 0.000 0.500
K2 K 0.000 0.500 0.000
K3 K 0.500 0.000 0.000
Y1 Y 0.500 0.500 0.500
Nb1 Nb 0.000 0.000 0.000
# Crystal system: cubic
# ΔE_f in eV/atom: 1.57
# Spin magnetization in μB per atom: 1.118
# Energy above the lowest structure with this stoichiometry in eV/atom: 0.0000